# CaMg6, optimized geometry, DFT GGA-PBE
data_CaMg6
_chemical_formula_sum 'Ca1 Mg6'
_cell_length_a 7.028
_cell_length_b 7.028
_cell_length_c 7.028
_cell_angle_alpha 90.00
_cell_angle_beta 90.00
_cell_angle_gamma 90.00
_symmetry_space_group_name_H-M 'P m -3 m'
_symmetry_Int_Tables_number 221
_symmetry_space_group_name_Hall '-P 4 2 3'
loop_
_atom_site_label
_atom_site_type_symbol
_atom_site_fract_x
_atom_site_fract_y
_atom_site_fract_z
_atom_site_occupancy
Ca1 Ca 0.000 0.000 0.000 1
Mg1 Mg 0.198 0.500 0.500 1
# - Offset from the most stable computed form: 792 meV per atom
# - Formation enthalpy at 0 K: 0.7712 eV/atom
# - E_tot: -0.882 eV/atom

***

# La5YPb4, optimized geometry, DFT GGA-PBE
data_La5YPb4
_chemical_formula_sum 'La10 Y2 Pb8'
_cell_length_a 17.174
_cell_length_b 5.587
_cell_length_c 7.432
_cell_angle_alpha 90.00
_cell_angle_beta 90.94
_cell_angle_gamma 90.00
_symmetry_space_group_name_H-M 'C 1 2/m 1'
_symmetry_Int_Tables_number 12
loop_
_symmetry_equiv_pos_as_xyz
'x,y,z'
'-x,-y,-z'
'-x,y,-z'
'x,-y,z'
'x+1/2,y+1/2,z'
'-x+1/2,-y+1/2,-z'
'-x+1/2,y+1/2,-z'
'x+1/2,-y+1/2,z'
loop_
_atom_site_label
_atom_site_type_symbol
_atom_site_fract_x
_atom_site_fract_y
_atom_site_fract_z
_atom_site_occupancy
La1 La 0.000 0.000 0.000 1
La2 La 0.166 0.500 0.999 1
La3 La 0.167 0.500 0.508 1
Y1 Y 0.000 0.000 0.500 1
Pb1 Pb 0.008 0.500 0.259 1
Pb2 Pb 0.172 0.000 0.748 1
# - Formation enthalpy at 0 K: -0.4292 eV/atom
# - E_tot: -5.023 eV/atom

***

# Ca2ThSb3, optimized geometry, DFT GGA-PBE
data_Ca2ThSb3
_chemical_formula_sum 'Ca4 Th2 Sb6'
_cell_length_a 4.562
_cell_length_b 6.388
_cell_length_c 13.576
_cell_angle_alpha 90.00
_cell_angle_beta 90.00
_cell_angle_gamma 90.00
_symmetry_space_group_name_H-M 'I m m m'
_symmetry_Int_Tables_number 71
_symmetry_space_group_name_Hall '-I 2 2'
loop_
_atom_site_label
_atom_site_type_symbol
_atom_site_fract_x
_atom_site_fract_y
_atom_site_fract_z
_atom_site_occupancy
Ca1 Ca 0.000 0.000 0.168 1
Th1 Th 0.000 0.000 0.500 1
Sb1 Sb 0.000 0.500 0.162 1
Sb2 Sb 0.000 0.500 0.500 1
# - ΔE_f (raw): -0.885 eV/atom
# - E_tot: -4.850 eV/atom

***

# Tb6P2SeS3, optimized geometry, DFT GGA-PBE
data_Tb6P2SeS3
_chemical_formula_sum 'Tb12 P4 Se2 S6'
_cell_length_a 17.396
_cell_length_b 3.987
_cell_length_c 7.993
_cell_angle_alpha 90.00
_cell_angle_beta 102.92
_cell_angle_gamma 90.00
_symmetry_space_group_name_H-M 'C 1 2/m 1'
_symmetry_Int_Tables_number 12
loop_
_symmetry_equiv_pos_as_xyz
'x,y,z'
'-x,-y,-z'
'-x,y,-z'
'x,-y,z'
'x+1/2,y+1/2,z'
'-x+1/2,-y+1/2,-z'
'-x+1/2,y+1/2,-z'
'x+1/2,-y+1/2,z'
loop_
_atom_site_label
_atom_site_type_symbol
_atom_site_fract_x
_atom_site_fract_y
_atom_site_fract_z
_atom_site_occupancy
Tb1 Tb 0.004 0.000 0.265 1
Tb2 Tb 0.169 0.500 0.579 1
Tb3 Tb 0.172 0.500 0.095 1
P1 P 0.167 0.000 0.333 1
Se1 Se 0.000 0.500 0.000 1
S1 S 0.000 0.500 0.500 1
S2 S 0.164 0.000 0.835 1
# - ΔE_f (raw): -1.895 eV/atom
# - E_tot: -6.434 eV/atom

***

# CdAg2Sb, optimized geometry, DFT GGA-PBE
data_CdAg2Sb
_chemical_formula_sum 'Cd4 Ag8 Sb4'
_cell_length_a 7.010
_cell_length_b 7.010
_cell_length_c 7.010
_cell_angle_alpha 90.00
_cell_angle_beta 90.00
_cell_angle_gamma 90.00
_symmetry_space_group_name_H-M 'F m -3 m'
_symmetry_Int_Tables_number 225
_symmetry_space_group_name_Hall '-F 4 2 3'
loop_
_atom_site_label
_atom_site_type_symbol
_atom_site_fract_x
_atom_site_fract_y
_atom_site_fract_z
_atom_site_occupancy
Cd1 Cd 0.000 0.000 0.000 1
Ag1 Ag 0.250 0.250 0.250 1
Sb1 Sb 0.000 0.000 0.500 1
# - Offset from the most stable computed form: 70 meV per atom
# - ΔE_f (raw): 0.114 eV/atom
# - E_tot: -2.571 eV/atom

***

# Pm3Ga11, optimized geometry, DFT GGA-PBE
data_Pm3Ga11
_chemical_formula_sum 'Pm6 Ga22'
_cell_length_a 4.259
_cell_length_b 10.157
_cell_length_c 12.982
_cell_angle_alpha 90.00
_cell_angle_beta 90.00
_cell_angle_gamma 90.00
_symmetry_space_group_name_H-M 'I m m m'
_symmetry_Int_Tables_number 71
_symmetry_space_group_name_Hall '-I 2 2'
loop_
_atom_site_label
_atom_site_type_symbol
_atom_site_fract_x
_atom_site_fract_y
_atom_site_fract_z
_atom_site_occupancy
Pm1 Pm 0.000 0.000 0.000 1
Pm2 Pm 0.000 0.000 0.324 1
Ga1 Ga 0.000 0.220 0.500 1
Ga2 Ga 0.000 0.272 0.145 1
Ga3 Ga 0.000 0.375 0.335 1
Ga4 Ga 0.000 0.500 0.000 1
# - Formation enthalpy at 0 K: -0.4791 eV/atom
# - E_tot: -3.875 eV/atom

***

Question: Among the records above, which one has the lowest E_tot?
Answer: Tb6P2SeS3

***

Question: Which of these has the lowest E_tot?
Answer: Tb6P2SeS3

***

Repeat the fourth record exactly.
# Tb6P2SeS3, optimized geometry, DFT GGA-PBE
data_Tb6P2SeS3
_chemical_formula_sum 'Tb12 P4 Se2 S6'
_cell_length_a 17.396
_cell_length_b 3.987
_cell_length_c 7.993
_cell_angle_alpha 90.00
_cell_angle_beta 102.92
_cell_angle_gamma 90.00
_symmetry_space_group_name_H-M 'C 1 2/m 1'
_symmetry_Int_Tables_number 12
loop_
_symmetry_equiv_pos_as_xyz
'x,y,z'
'-x,-y,-z'
'-x,y,-z'
'x,-y,z'
'x+1/2,y+1/2,z'
'-x+1/2,-y+1/2,-z'
'-x+1/2,y+1/2,-z'
'x+1/2,-y+1/2,z'
loop_
_atom_site_label
_atom_site_type_symbol
_atom_site_fract_x
_atom_site_fract_y
_atom_site_fract_z
_atom_site_occupancy
Tb1 Tb 0.004 0.000 0.265 1
Tb2 Tb 0.169 0.500 0.579 1
Tb3 Tb 0.172 0.500 0.095 1
P1 P 0.167 0.000 0.333 1
Se1 Se 0.000 0.500 0.000 1
S1 S 0.000 0.500 0.500 1
S2 S 0.164 0.000 0.835 1
# - ΔE_f (raw): -1.895 eV/atom
# - E_tot: -6.434 eV/atom